Entry 1:
A geometry-optimized Ba3LiC2N6 structure, computed with PBE.

The structure in POSCAR format:
```
Ba3LiC2N6
1.0
5.861 0.000 0.000
-2.930 5.076 0.000
0.000 0.000 6.951
Ba Li C N
3 1 2 6
Direct
0.000 0.000 0.000 Ba
0.333 0.667 0.664 Ba
0.667 0.333 0.336 Ba
0.000 0.000 0.500 Li
0.333 0.667 0.269 C
0.667 0.333 0.731 C
0.200 0.401 0.278 N
0.200 0.800 0.278 N
0.401 0.200 0.722 N
0.599 0.800 0.278 N
0.800 0.200 0.722 N
0.800 0.599 0.722 N
```

Calculated values
calculated volume = 206.8 Å³/cell
energy = -6.65 eV per atom

Entry 2:
A geometry-optimized BaLiCN2 structure, computed with PBE.

The structure in POSCAR format:
```
BaLiCN2
1.0
6.201 0.000 0.000
0.000 4.067 0.000
-1.214 0.000 6.148
Ba Li C N
2 2 2 4
Direct
0.000 0.245 0.250 Ba
0.000 0.755 0.750 Ba
0.500 0.478 0.750 Li
0.500 0.522 0.250 Li
0.500 0.000 0.000 C
0.500 0.000 0.500 C
0.349 0.208 0.980 N
0.349 0.792 0.480 N
0.651 0.208 0.520 N
0.651 0.792 0.020 N
```

Calculated values
calculated volume = 155.0 Å³/cell
energy = -6.39 eV per atom

Calculated energy relative to the elements, uncorrected in order - -29.8; -43.7 kJ/mol of atoms